A plane-wave DFT calculation with GGA-PBE was carried out for an optimized crystal structure of SrAsP2.

## Properties
DOS at the Fermi energy = 2.02 states/eV per cell
Crystal system = monoclinic
Space-group type = Pm, No. 6
E_tot = -4.648 eV/atom

Lattice parameters (Å, degrees): 4.7763 4.0634 5.0644 90.00 101.89 90.00
Closest atoms and distances in Å follow each position.
Positions (direct):
Sr  0.0000  0.0000  0.0000  4 P 3.08-3.15, 2 As 3.24
As  0.4007  0.5000  0.7449  1 P 2.33
P  0.5282  0.0000  0.4654  2 P 2.49, 2 As 2.62
P  0.6054  0.5000  0.2051  1 As 2.33, 2 P 2.49